[1]
# Dy6Y3Er2 PBE optimized geometry
# ΔH_f (0 K), eV/atom: 0.022
# Excess energy over the best structure of this formula in the dataset, eV per atom: 0.0000
# SG: R-3m, No. 166
data_Dy6Y3Er2
_cell_length_a 31.822
_cell_length_b 31.822
_cell_length_c 31.822
_cell_angle_alpha 6.39
_cell_angle_beta 6.39
_cell_angle_gamma 6.39
_symmetry_space_group_name_H-M 'P 1'
_symmetry_Int_Tables_number 1
_symmetry_space_group_name_Hall 'P 1'
loop_
_atom_site_label
_atom_site_type_symbol
_atom_site_fract_x
_atom_site_fract_y
_atom_site_fract_z
Dy1 Dy 0.091 0.091 0.091
Dy2 Dy 0.182 0.182 0.182
Dy3 Dy 0.364 0.364 0.364
Dy4 Dy 0.636 0.636 0.636
Dy5 Dy 0.818 0.818 0.818
Dy6 Dy 0.909 0.909 0.909
Y1 Y 0.000 0.000 0.000
Y2 Y 0.272 0.272 0.272
Y3 Y 0.728 0.728 0.728
Er1 Er 0.455 0.455 0.455
Er2 Er 0.545 0.545 0.545

[2]
# Dy5Y2Er2 PBE optimized geometry
# ΔH_f (0 K), eV/atom: 0.118
# Excess energy over the best structure of this formula in the dataset, eV per atom: 0.0000
# SG: C2/m, No. 12
data_Dy5Y2Er2
_cell_length_a 8.648
_cell_length_b 8.648
_cell_length_c 6.314
_cell_angle_alpha 104.54
_cell_angle_beta 104.54
_cell_angle_gamma 38.92
_symmetry_space_group_name_H-M 'P 1'
_symmetry_Int_Tables_number 1
_symmetry_space_group_name_Hall 'P 1'
loop_
_atom_site_label
_atom_site_type_symbol
_atom_site_fract_x
_atom_site_fract_y
_atom_site_fract_z
Dy1 Dy 0.000 0.000 0.000
Dy2 Dy 0.209 0.209 0.068
Dy3 Dy 0.321 0.321 0.641
Dy4 Dy 0.679 0.679 0.359
Dy5 Dy 0.791 0.791 0.932
Y1 Y 0.438 0.438 0.215
Y2 Y 0.562 0.562 0.785
Er1 Er 0.102 0.102 0.518
Er2 Er 0.898 0.898 0.482

[3]
# Dy4Y4Er3 PBE optimized geometry
# ΔH_f (0 K), eV/atom: 0.060
# Excess energy over the best structure of this formula in the dataset, eV per atom: 0.0000
# SG: P-1, No. 2
data_Dy4Y4Er3
_cell_length_a 3.511
_cell_length_b 5.579
_cell_length_c 18.002
_cell_angle_alpha 81.12
_cell_angle_beta 84.41
_cell_angle_gamma 90.00
_symmetry_space_group_name_H-M 'P 1'
_symmetry_Int_Tables_number 1
_symmetry_space_group_name_Hall 'P 1'
loop_
_atom_site_label
_atom_site_type_symbol
_atom_site_fract_x
_atom_site_fract_y
_atom_site_fract_z
Dy1 Dy 0.045 0.045 0.409
Dy2 Dy 0.179 0.680 0.140
Dy3 Dy 0.821 0.320 0.860
Dy4 Dy 0.955 0.955 0.591
Y1 Y 0.090 0.590 0.320
Y2 Y 0.233 0.233 0.035
Y3 Y 0.767 0.767 0.965
Y4 Y 0.910 0.410 0.680
Er1 Er 0.364 0.864 0.773
Er2 Er 0.500 0.500 0.500
Er3 Er 0.636 0.136 0.227

- Among the records above, which one has the highest ΔH_f (0 K)?
  Dy5Y2Er2

- Which of these has the lowest ΔH_f (0 K)?
  Dy6Y3Er2